Entry 1:
Entry from the Alexandria database: an optimized crystal structure of Y2CuF (GGA-PBE).

Cell and atoms, written as extended XYZ:
```
8
Lattice="-2.821 4.791 1.308 0.681 -1.117 5.560 3.970 4.810 3.414" Properties=species:S:1:pos:R:3 pbc="T T T"
Y -0.554 3.834 2.305
Y 0.934 1.326 4.553
Y 2.207 4.933 5.395
Y 1.073 6.874 8.311
Cu 0.000 0.000 0.000
Cu 0.039 5.719 4.078
F -1.070 1.837 3.434
F 1.791 2.765 6.204
```

Calculated values
- SG: I-42d
- Relative energy among the computed polymorphs: 118 meV per atom


Entry 2:
Entry from the Alexandria database: an optimized crystal structure of YCuF2 (GGA-PBE).

Cell and atoms, written as extended XYZ:
```
4
Lattice="-2.219 -2.105 3.023 -4.041 -1.248 -0.776 -0.901 -4.174 -0.509" Properties=species:S:1:pos:R:3 pbc="T T T"
Y -3.580 -3.763 0.869
Cu 0.000 0.000 0.000
F -1.790 -1.882 0.434
F -5.371 -5.645 1.303
```

Calculated values
- SG: Fm-3m
- Relative energy among the computed polymorphs: 162 meV per atom


Entry 3:
Entry from the Alexandria database: an optimized crystal structure of Zn4CuF2 (GGA-PBE).

Cell and atoms, written as extended XYZ:
```
7
Lattice="-1.680 1.397 -4.074 -4.211 -1.451 1.238 -4.279 6.111 1.238" Properties=species:S:1:pos:R:3 pbc="T T T"
Zn -6.337 2.001 -1.947
Zn -3.833 4.056 0.349
Zn -2.105 -0.726 0.619
Zn -0.840 0.699 -2.037
Cu 0.000 0.000 0.000
F -6.698 3.663 -1.227
F -3.471 2.394 -0.370
```

Calculated values
- Total energy: -0.18448 Ry per atom
- SG: I4/mmm


Entry 4:
Entry from the Alexandria database: an optimized crystal structure of ZnCu3F (GGA-PBE).

Cell and atoms, written as extended XYZ:
```
5
Lattice="4.135 0.000 0.000 0.000 4.135 0.000 0.000 0.000 4.135" Properties=species:S:1:pos:R:3 pbc="T T T"
Zn 2.067 2.067 2.067
Cu 0.000 2.067 0.000
Cu 0.000 0.000 2.067
Cu 2.067 0.000 0.000
F 0.000 0.000 0.000
```

Calculated values
- SG: Pm-3m
- Relative energy among the computed polymorphs: 0 meV per atom


Entry 5:
Entry from the Alexandria database: an optimized crystal structure of ZnCuF5 (GGA-PBE).

Cell and atoms, written as extended XYZ:
```
14
Lattice="-0.074 -2.981 4.269 -1.484 -4.525 -2.107 5.936 -5.601 0.043" Properties=species:S:1:pos:R:3 pbc="T T T"
Zn 3.881 -7.727 2.050
Zn 0.498 -5.380 0.154
Cu 0.000 0.000 0.000
Cu 2.968 -2.801 0.021
F 4.658 -6.912 0.457
F 1.900 -6.702 -0.362
F 1.765 -4.030 0.771
F 4.337 -7.228 4.113
F -1.114 -4.288 -0.280
F 5.493 -8.819 2.484
F 0.042 -5.880 -1.908
F 2.614 -9.078 1.433
F 2.479 -6.405 2.566
F -0.280 -6.196 1.748
```

Calculated values
- SG: C2/c
- Relative energy among the computed polymorphs: 3 meV per atom


Entry 6:
Entry from the Alexandria database: an optimized crystal structure of ZnCuF4 (GGA-PBE).

Cell and atoms, written as extended XYZ:
```
12
Lattice="-0.577 5.635 1.291 -3.623 -1.112 3.238 5.277 -2.838 1.664" Properties=species:S:1:pos:R:3 pbc="T T T"
Zn 1.559 0.064 2.046
Zn -0.469 1.625 4.150
Cu -1.806 -0.554 1.620
Cu -3.905 1.707 3.884
F -0.539 4.578 2.747
F 2.727 1.793 2.703
F 1.629 -2.890 3.449
F 3.291 -0.886 2.161
F -1.636 -0.105 3.492
F 0.052 1.648 2.147
F -2.202 2.574 4.034
F 1.038 0.041 4.048
```

Calculated values
- SG: C2/c
- Relative energy among the computed polymorphs: 0 meV per atom


Entry 7:
Entry from the Alexandria database: an optimized crystal structure of Zn3CuF (GGA-PBE).

Cell and atoms, written as extended XYZ:
```
5
Lattice="4.280 0.000 0.000 0.000 4.280 0.000 0.000 0.000 4.280" Properties=species:S:1:pos:R:3 pbc="T T T"
Zn 0.000 2.140 0.000
Zn 0.000 0.000 2.140
Zn 2.140 0.000 0.000
Cu 2.140 2.140 2.140
F 0.000 0.000 0.000
```

Calculated values
- SG: Pm-3m
- Relative energy among the computed polymorphs: 116 meV per atom


Entry 8:
Entry from the Alexandria database: an optimized crystal structure of ZnCuF3 (GGA-PBE).

Cell and atoms, written as extended XYZ:
```
20
Lattice="5.541 0.000 0.000 -2.771 4.799 0.000 0.000 0.000 9.496" Properties=species:S:1:pos:R:3 pbc="T T T"
Zn 2.771 1.600 2.374
Zn 0.000 0.000 2.374
Zn 0.000 3.199 7.122
Zn 0.000 0.000 7.122
Cu 2.771 1.600 8.425
Cu 0.000 3.199 3.676
Cu 0.000 3.199 1.072
Cu 2.771 1.600 5.820
F 0.722 1.608 8.236
F 3.787 0.179 3.488
F 2.049 3.190 1.261
F -0.722 1.608 6.009
F 4.509 1.430 1.261
F 1.754 0.179 1.261
F 1.739 3.369 6.009
F -1.739 3.369 8.236
F 1.032 1.430 3.488
F 1.017 4.620 8.236
F 3.493 3.190 3.488
F -1.017 4.620 6.009
```

Calculated values
- Total energy: -0.28613 Ry per atom
- SG: P-31c


Entry 9:
Entry from the Alexandria database: an optimized crystal structure of ZnCuF5 (GGA-PBE).

Cell and atoms, written as extended XYZ:
```
28
Lattice="9.665 0.000 0.000 0.000 5.073 -0.028 0.000 2.529 7.032" Properties=species:S:1:pos:R:3 pbc="T T T"
Zn 0.127 4.600 5.372
Zn 4.960 4.268 5.148
Zn 9.537 3.003 1.632
Zn 4.705 3.335 1.856
Cu 7.328 2.107 4.401
Cu 2.496 6.761 6.120
Cu 2.336 5.496 2.604
Cu 7.168 0.842 0.885
F 8.538 3.598 4.185
F 3.706 5.269 6.336
F 1.126 4.004 2.820
F 5.958 2.334 0.669
F 5.888 3.110 3.624
F 1.056 5.757 6.896
F 3.777 4.493 3.380
F 8.609 1.845 0.108
F 3.935 2.609 5.403
F 8.768 6.258 5.118
F 5.729 4.993 1.602
F 0.897 1.345 1.887
F 1.356 3.183 5.882
F 6.188 5.685 4.638
F 8.309 4.420 1.122
F 3.477 1.918 2.366
F 6.589 2.951 6.062
F 1.757 5.917 4.458
F 3.076 4.652 0.942
F 7.908 1.686 2.546
```

Calculated values
- SG: P2_1/c
- Relative energy among the computed polymorphs: 0 meV per atom


Entry 10:
Entry from the Alexandria database: an optimized crystal structure of ZnCuF4 (GGA-PBE).

Cell and atoms, written as extended XYZ:
```
6
Lattice="6.005 0.000 0.000 0.000 6.005 0.000 -3.002 -3.002 2.631" Properties=species:S:1:pos:R:3 pbc="T T T"
Zn 3.002 0.000 1.315
Cu 3.002 3.002 0.000
F 2.147 4.693 0.167
F 3.858 1.311 0.167
F -1.691 -0.856 2.464
F 1.691 0.856 2.464
```

Calculated values
- SG: I-4
- Relative energy among the computed polymorphs: 56 meV per atom


Entry 11:
Entry from the Alexandria database: an optimized crystal structure of Zn2CuF6 (GGA-PBE).

Cell and atoms, written as extended XYZ:
```
18
Lattice="-3.171 1.596 3.336 1.674 -3.752 3.387 5.992 6.083 2.786" Properties=species:S:1:pos:R:3 pbc="T T T"
Zn -0.552 1.973 2.351
Zn 2.565 0.109 2.650
Zn 1.930 3.819 6.860
Zn 5.047 1.955 7.158
Cu -0.749 -1.078 3.362
Cu 2.996 3.042 1.393
F 3.666 3.777 3.104
F 1.402 1.754 2.449
F -0.673 -0.156 1.678
F 0.921 3.127 5.180
F -0.898 1.087 4.139
F 3.302 4.910 5.774
F 0.829 0.151 6.405
F 3.093 2.174 7.060
F 5.169 4.084 7.831
F 3.575 0.801 4.329
F 5.393 2.841 5.370
F 1.193 -0.983 3.735
```

Calculated values
- SG: P2_1/c
- Relative energy among the computed polymorphs: 8 meV per atom


Entry 12:
Entry from the Alexandria database: an optimized crystal structure of Zn2CuF (GGA-PBE).

Cell and atoms, written as extended XYZ:
```
8
Lattice="6.194 0.000 0.000 0.000 6.194 0.000 3.097 3.097 3.004" Properties=species:S:1:pos:R:3 pbc="T T T"
Zn 4.463 1.548 0.751
Zn 1.731 4.645 0.751
Zn 4.645 4.828 2.253
Zn 7.742 7.560 2.253
Cu 0.000 0.000 0.000
Cu 6.194 3.097 1.502
F 3.097 3.097 0.000
F 3.097 6.194 1.502
```

Calculated values
- SG: I-42d
- Relative energy among the computed polymorphs: 0 meV per atom


Entry 13:
Entry from the Alexandria database: an optimized crystal structure of Zn3CuF (GGA-PBE).

Cell and atoms, written as extended XYZ:
```
5
Lattice="-4.156 0.417 1.977 -1.428 -3.804 -2.201 1.429 -2.590 3.550" Properties=species:S:1:pos:R:3 pbc="T T T"
Zn -0.714 -1.902 -1.100
Zn 0.715 -1.295 1.775
Zn -2.078 0.208 0.988
Cu 0.000 0.000 0.000
F -2.078 -2.989 1.663
```

Calculated values
- SG: Pm-3m
- Relative energy among the computed polymorphs: 0 meV per atom


Entry 14:
Entry from the Alexandria database: an optimized crystal structure of ZnCu3F (GGA-PBE).

Cell and atoms, written as extended XYZ:
```
5
Lattice="-4.442 0.042 0.640 -0.348 -3.921 -2.155 0.539 -2.182 3.884" Properties=species:S:1:pos:R:3 pbc="T T T"
Zn 0.000 0.000 0.000
Cu -0.174 -1.961 -1.077
Cu 0.270 -1.091 1.942
Cu -2.221 0.021 0.320
F -2.125 -3.031 1.185
```

Calculated values
- SG: Pm-3m
- Relative energy among the computed polymorphs: 427 meV per atom


Entry 15:
Entry from the Alexandria database: an optimized crystal structure of ZnCuF3 (GGA-PBE).

Cell and atoms, written as extended XYZ:
```
10
Lattice="-2.145 -2.301 -0.209 2.964 -0.119 -5.337 4.818 -4.817 3.588" Properties=species:S:1:pos:R:3 pbc="T T T"
Zn 3.081 -5.012 -0.212
Zn 2.556 -2.224 -1.746
Cu 4.776 -6.392 -2.418
Cu 0.861 -0.845 0.460
F 4.042 -3.631 -1.513
F 1.595 -3.606 -0.445
F 4.502 -6.303 -0.587
F 1.135 -0.934 -1.371
F 4.009 -3.850 1.245
F 1.628 -3.386 -3.203
```

Calculated values
- Total energy: -0.28856 Ry per atom
- SG: C2/m


Entry 16:
Entry from the Alexandria database: an optimized crystal structure of Zn2CuF (GGA-PBE).

Cell and atoms, written as extended XYZ:
```
4
Lattice="-2.881 -0.391 3.141 -3.715 2.113 -0.228 -3.641 -2.142 -0.690" Properties=species:S:1:pos:R:3 pbc="T T T"
Zn -2.559 -0.105 0.556
Zn -7.677 -0.315 1.667
Cu -5.118 -0.210 1.111
F 0.000 0.000 0.000
```

Calculated values
- SG: Fm-3m
- Relative energy among the computed polymorphs: 187 meV per atom


Entry 17:
Entry from the Alexandria database: an optimized crystal structure of Zn2CuF6 (GGA-PBE).

Cell and atoms, written as extended XYZ:
```
18
Lattice="-3.303 3.229 1.120 -3.386 -2.881 -1.681 -0.934 -3.965 8.675" Properties=species:S:1:pos:R:3 pbc="T T T"
Zn -3.656 -1.147 2.610
Zn -3.968 -2.469 5.503
Zn -0.156 -0.661 1.446
Zn -0.779 -3.304 7.228
Cu -3.345 0.174 -0.281
Cu -0.467 -1.982 4.337
F -4.814 -0.418 1.055
F -5.436 -3.062 6.838
F -5.142 -1.739 3.945
F -3.320 2.014 0.563
F -3.631 0.708 3.462
F -3.942 -0.613 6.353
F -3.681 -3.003 1.760
F -3.993 -4.325 4.651
F -3.370 -1.666 -1.125
F -2.482 -1.877 4.168
F -2.187 -0.555 1.275
F -2.810 -3.198 7.058
```

Calculated values
- SG: P4_2/mnm
- Relative energy among the computed polymorphs: 0 meV per atom


Entry 18:
Entry from the Alexandria database: an optimized crystal structure of ZrCu2F (GGA-PBE).

Cell and atoms, written as extended XYZ:
```
4
Lattice="-2.751 -2.459 2.420 -2.425 1.877 3.173 -4.363 0.417 -0.513" Properties=species:S:1:pos:R:3 pbc="T T T"
Cu -2.385 -0.041 1.270
Cu -7.155 -0.124 3.810
Zr -4.770 -0.083 2.540
F 0.000 0.000 0.000
```

Calculated values
- SG: Fm-3m
- Relative energy among the computed polymorphs: 497 meV per atom


Entry 19:
Entry from the Alexandria database: an optimized crystal structure of ZrCu2F (GGA-PBE).

Cell and atoms, written as extended XYZ:
```
8
Lattice="-0.382 7.274 -0.288 -7.181 -0.329 1.209 -3.410 3.581 2.694" Properties=species:S:1:pos:R:3 pbc="T T T"
Cu -1.977 5.174 0.653
Cu -5.401 1.826 1.384
Cu -5.618 5.280 2.404
Cu -8.951 8.773 2.789
Zr 0.000 0.000 0.000
Zr -3.787 7.164 1.433
F -3.781 3.473 0.460
F -7.187 3.362 2.182
```

Calculated values
- SG: I-42d
- Relative energy among the computed polymorphs: 0 meV per atom


Entry 20:
Entry from the Alexandria database: an optimized crystal structure of ZrCuF2 (GGA-PBE).

Cell and atoms, written as extended XYZ:
```
8
Lattice="4.024 0.000 0.000 0.000 4.024 0.000 2.012 2.012 7.401" Properties=species:S:1:pos:R:3 pbc="T T T"
Cu 2.012 2.012 0.000
Cu 2.012 4.024 3.701
Zr 0.000 0.000 0.000
Zr 4.024 2.012 3.701
F 3.404 1.006 1.850
F 0.620 3.018 1.850
F 3.018 2.633 5.551
F 5.031 5.416 5.551
```

Calculated values
- SG: I-42d
- Relative energy among the computed polymorphs: 125 meV per atom